Entry one
A geometry-optimized La5Ga structure, computed with PBE.

extended XYZ file:
```
6
Lattice="2.5000 -7.9248 0.0000 2.5000 7.9248 0.0000 0.0000 0.0000 4.8943" Properties=species:S:1:pos:R:3 pbc="T T T"
La 0.0000 0.0000 0.0000
La 2.5000 5.2962 2.4472
La 2.5000 2.3965 0.0000
La 2.5000 -2.3965 0.0000
La 2.5000 -5.2962 2.4472
Ga 2.5000 0.0000 2.4472
```

***

Entry two
A geometry-optimized La5Ga structure, computed with PBE.

extended XYZ file:
```
6
Lattice="6.3031 -1.9367 0.0000 6.3031 1.9367 0.0000 -3.4212 0.0000 8.3263" Properties=species:S:1:pos:R:3 pbc="T T T"
La 0.0000 0.0000 0.0000
La -1.2206 0.0000 3.5983
La 3.2983 0.0000 1.2751
La 2.0849 0.0000 4.8964
La 5.6241 0.0000 6.5998
Ga 7.3505 0.0000 2.4509
```

***

On energetic grounds, entry two is preferred over the next structure by 30 meV/atom.

***

Entry one
A geometry-optimized La5Ga3 structure, computed with PBE.

extended XYZ file:
```
16
Lattice="-6.1652 6.1652 3.0858 6.1652 -6.1652 3.0858 6.1652 6.1652 -3.0858" Properties=species:S:1:pos:R:3 pbc="T T T"
La 9.6591 1.0811 0.0000
La 1.0811 2.6714 0.0000
La 6.1652 0.0000 1.5429
La 7.2463 3.4939 0.0000
La 3.4939 5.0841 0.0000
La 2.6714 1.0811 3.0858
La -1.0811 2.6714 3.0858
La 0.0000 6.1652 1.5429
La 5.0841 3.4939 3.0858
La -3.4939 5.0841 3.0858
Ga 4.1979 1.9673 0.0000
Ga 0.0000 0.0000 1.5429
Ga 4.1979 -1.9673 3.0858
Ga 1.9673 8.1325 0.0000
Ga 0.0000 0.0000 4.6287
Ga 1.9673 4.1979 3.0858
```

***

Entry two
A geometry-optimized La5Ga3 structure, computed with PBE.

extended XYZ file:
```
32
Lattice="8.0285 0.0000 0.0000 0.0000 8.0285 0.0000 0.0000 0.0000 14.8447" Properties=species:S:1:pos:R:3 pbc="T T T"
La 0.5156 4.7318 1.5286
La 0.5156 7.3109 8.9510
La 0.7176 4.5298 5.8937
La 0.7176 7.5129 13.3161
La 2.0071 2.0071 3.1863
La 2.0071 2.0071 10.6087
La 3.2967 4.5298 13.3161
La 3.2967 7.5129 5.8937
La 3.4986 4.7318 8.9510
La 3.4986 7.3109 1.5286
La 4.5298 0.7176 13.3161
La 4.5298 3.2967 5.8937
La 4.7318 0.5156 8.9510
La 4.7318 3.4986 1.5286
La 6.0214 6.0214 4.2360
La 6.0214 6.0214 11.6584
La 7.3109 0.5156 1.5286
La 7.3109 3.4986 8.9510
La 7.5129 0.7176 5.8937
La 7.5129 3.2967 13.3161
Ga 1.0603 5.0745 11.1335
Ga 1.0603 6.9682 3.7112
Ga 2.0071 2.0071 0.0583
Ga 2.0071 2.0071 7.4806
Ga 2.9540 5.0745 3.7112
Ga 2.9540 6.9682 11.1335
Ga 5.0745 1.0603 3.7112
Ga 5.0745 2.9540 11.1335
Ga 6.0214 6.0214 7.3641
Ga 6.0214 6.0214 14.7865
Ga 6.9682 1.0603 11.1335
Ga 6.9682 2.9540 3.7112
```

***

On energetic grounds, entry two is preferred over the next structure by 17 meV/atom.

***

Entry one
A geometry-optimized Li2LaGa2 structure, computed with PBE.

extended XYZ file:
```
10
Lattice="-2.1872 2.2575 10.8694 2.1872 -2.2575 10.8694 2.1872 2.2575 -10.8694" Properties=species:S:1:pos:R:3 pbc="T T T"
Li 2.1872 1.1288 -0.9119
Li 0.0000 1.1288 0.7974
Li 2.1872 1.1288 10.0720
Li 0.0000 1.1288 11.7813
La 2.1872 1.1288 3.6386
La 0.0000 1.1288 7.2308
Ga 2.1872 -1.1288 6.0986
Ga 2.1872 -1.1288 8.5986
Ga 0.0000 3.3863 2.2708
Ga 0.0000 3.3863 4.7708
```

***

Entry two
A geometry-optimized Li2LaGa2 structure, computed with PBE.

extended XYZ file:
```
10
Lattice="8.1273 0.0000 0.0000 0.0000 8.1273 0.0000 0.0000 0.0000 3.1533" Properties=species:S:1:pos:R:3 pbc="T T T"
Li 1.4085 2.6551 0.0000
Li 2.6551 6.7188 0.0000
Li 5.4722 1.4085 0.0000
Li 6.7188 5.4722 0.0000
La 0.0000 0.0000 1.5767
La 4.0637 4.0637 1.5767
Ga 0.9553 5.0189 1.5767
Ga 3.1084 0.9553 1.5767
Ga 5.0189 7.1720 1.5767
Ga 7.1720 3.1084 1.5767
```

***

On energetic grounds, entry one is preferred over the next structure by 188 meV/atom.